[1]
An optimized crystal structure of TlAg2P2, computed with PBE.

extended XYZ file:
```
10
Lattice="1.638 -5.870 0.000 1.638 5.870 0.000 0.000 0.000 11.587" Properties=species:S:1:pos:R:3 pbc="T T T"
Tl 1.638 5.603 8.691
Tl 1.638 -5.603 2.897
Ag 1.638 2.616 8.691
Ag 1.638 0.000 0.000
Ag 1.638 0.000 5.794
Ag 1.638 -2.616 2.897
P 1.638 2.386 6.282
P 1.638 2.386 11.099
P 1.638 -2.386 0.488
P 1.638 -2.386 5.305
```

Values from the calculation:
SG: Cmcm (63)



[2]
An optimized crystal structure of Tm3AgP, computed with PBE.

extended XYZ file:
```
5
Lattice="5.165 0.000 0.000 0.000 5.165 0.000 0.000 0.000 5.165" Properties=species:S:1:pos:R:3 pbc="T T T"
Tm 0.000 0.000 2.583
Tm 0.000 2.583 0.000
Tm 2.583 0.000 0.000
Ag 2.583 2.583 2.583
P 0.000 0.000 0.000
```

Values from the calculation:
SG: Pm-3m (221)



[3]
An optimized crystal structure of TmAgP5, computed with PBE.

extended XYZ file:
```
14
Lattice="6.495 0.000 0.000 0.000 7.466 0.000 0.000 0.000 6.409" Properties=species:S:1:pos:R:3 pbc="T T T"
Tm 0.000 0.000 0.000
Tm 3.247 3.733 3.204
Ag 0.000 3.733 3.191
Ag 3.247 0.000 6.396
P 0.000 0.000 2.889
P 0.000 1.657 4.311
P 0.000 5.809 4.311
P 1.064 3.733 0.805
P 2.184 0.000 4.009
P 3.247 2.076 1.107
P 3.247 3.733 6.093
P 3.247 5.391 1.107
P 4.311 0.000 4.009
P 5.431 3.733 0.805
```

Values from the calculation:
SG: Imm2 (44)



[4]
An optimized crystal structure of Zr2AgP, computed with PBE.

extended XYZ file:
```
16
Lattice="3.524 0.000 0.000 0.000 18.115 0.000 0.000 0.000 5.043" Properties=species:S:1:pos:R:3 pbc="T T T"
Zr 0.000 1.561 1.261
Zr 0.000 5.265 1.261
Zr 0.000 12.850 3.782
Zr 0.000 16.554 3.782
Zr 1.762 3.792 3.782
Zr 1.762 7.497 3.782
Zr 1.762 10.618 1.261
Zr 1.762 14.323 1.261
Ag 0.000 8.237 1.261
Ag 0.000 9.878 3.782
Ag 1.762 0.820 3.782
Ag 1.762 17.295 1.261
P 0.000 5.650 3.782
P 0.000 12.465 1.261
P 1.762 3.408 1.261
P 1.762 14.707 3.782
```

Values from the calculation:
SG: Cmcm (63)



[5]
An optimized crystal structure of Zr3AgP5, computed with PBE.

extended XYZ file:
```
9
Lattice="6.210 0.000 0.000 -3.105 5.378 0.000 0.000 0.000 5.813" Properties=species:S:1:pos:R:3 pbc="T T T"
Zr -1.552 2.689 0.000
Zr 3.105 0.000 0.000
Zr 1.552 2.689 0.000
Ag 0.000 0.000 2.907
P 0.000 0.000 0.000
P 0.000 3.585 1.852
P 0.000 3.585 3.961
P 3.105 1.793 1.852
P 3.105 1.793 3.961
```

Values from the calculation:
SG: P6/mmm (191)



[6]
An optimized crystal structure of PmPaAg, computed with PBE.

extended XYZ file:
```
12
Lattice="7.090 0.000 0.000 0.000 7.090 0.000 0.000 0.000 7.090" Properties=species:S:1:pos:R:3 pbc="T T T"
Pm 0.000 0.000 0.000
Pm 0.000 3.545 3.545
Pm 3.545 0.000 3.545
Pm 3.545 3.545 0.000
Pa 0.000 0.000 3.545
Pa 0.000 3.545 0.000
Pa 3.545 0.000 0.000
Pa 3.545 3.545 3.545
Ag 1.773 1.773 5.318
Ag 1.773 5.318 1.773
Ag 5.318 1.773 1.773
Ag 5.318 5.318 5.318
```

Values from the calculation:
SG: F-43m (216)
ΔE to the lowest computed polymorph in kJ per mole of atoms: 0.0
Energy of formation in kJ/mol of formula units: 171.8



[7]
An optimized crystal structure of PaAgPt, computed with PBE.

extended XYZ file:
```
12
Lattice="6.582 0.000 0.000 0.000 6.582 0.000 0.000 0.000 6.582" Properties=species:S:1:pos:R:3 pbc="T T T"
Pa 0.000 0.000 0.000
Pa 0.000 3.291 3.291
Pa 3.291 0.000 3.291
Pa 3.291 3.291 0.000
Ag 0.000 0.000 3.291
Ag 0.000 3.291 0.000
Ag 3.291 0.000 0.000
Ag 3.291 3.291 3.291
Pt 1.646 1.646 4.937
Pt 1.646 4.937 1.646
Pt 4.937 1.646 1.646
Pt 4.937 4.937 4.937
```

Values from the calculation:
SG: F-43m (216)
ΔE to the lowest computed polymorph in kJ per mole of atoms: 0.0
Energy of formation in kJ/mol of formula units: -88.6



[8]
An optimized crystal structure of PaAgPt, computed with PBE.

extended XYZ file:
```
12
Lattice="6.675 0.000 0.000 0.000 6.675 0.000 0.000 0.000 6.675" Properties=species:S:1:pos:R:3 pbc="T T T"
Pa 0.000 0.000 0.000
Pa 0.000 3.338 3.338
Pa 3.338 0.000 3.338
Pa 3.338 3.338 0.000
Ag 1.669 1.669 5.006
Ag 1.669 5.006 1.669
Ag 5.006 1.669 1.669
Ag 5.006 5.006 5.006
Pt 1.669 1.669 1.669
Pt 1.669 5.006 5.006
Pt 5.006 1.669 5.006
Pt 5.006 5.006 1.669
```

Values from the calculation:
SG: F-43m (216)
ΔE to the lowest computed polymorph in kJ per mole of atoms: 35.0
Energy of formation in kJ/mol of formula units: 16.5



[9]
An optimized crystal structure of RbPaAg, computed with PBE.

extended XYZ file:
```
12
Lattice="7.558 0.000 0.000 0.000 7.558 0.000 0.000 0.000 7.558" Properties=species:S:1:pos:R:3 pbc="T T T"
Rb 0.000 0.000 0.000
Rb 0.000 3.779 3.779
Rb 3.779 0.000 3.779
Rb 3.779 3.779 0.000
Pa 0.000 0.000 3.779
Pa 0.000 3.779 0.000
Pa 3.779 0.000 0.000
Pa 3.779 3.779 3.779
Ag 1.889 1.889 5.668
Ag 1.889 5.668 1.889
Ag 5.668 1.889 1.889
Ag 5.668 5.668 5.668
```

Values from the calculation:
SG: F-43m (216)
ΔE to the lowest computed polymorph in kJ per mole of atoms: 0.0



[10]
An optimized crystal structure of RbPaAgSe3, computed with PBE.

extended XYZ file:
```
12
Lattice="2.138 -7.605 0.000 2.138 7.605 0.000 0.000 0.000 10.940" Properties=species:S:1:pos:R:3 pbc="T T T"
Rb 2.138 3.860 8.205
Rb 2.138 -3.860 2.735
Pa 2.138 0.000 0.000
Pa 2.138 0.000 5.470
Ag 2.138 6.967 2.735
Ag 2.138 -6.967 8.205
Se 2.138 5.701 0.437
Se 2.138 5.701 5.033
Se 2.138 0.987 2.735
Se 2.138 -0.987 8.205
Se 2.138 -5.701 5.907
Se 2.138 -5.701 10.503
```

Values from the calculation:
SG: Cmcm (63)



[11]
An optimized crystal structure of PaReAg, computed with PBE.

extended XYZ file:
```
12
Lattice="6.453 0.000 0.000 0.000 6.453 0.000 0.000 0.000 6.453" Properties=species:S:1:pos:R:3 pbc="T T T"
Pa 0.000 0.000 0.000
Pa 0.000 3.226 3.226
Pa 3.226 0.000 3.226
Pa 3.226 3.226 0.000
Re 0.000 0.000 3.226
Re 0.000 3.226 0.000
Re 3.226 0.000 0.000
Re 3.226 3.226 3.226
Ag 1.613 1.613 1.613
Ag 1.613 4.840 4.840
Ag 4.840 1.613 4.840
Ag 4.840 4.840 1.613
```

Values from the calculation:
SG: F-43m (216)
ΔE to the lowest computed polymorph in kJ per mole of atoms: 0.0
Energy of formation in kJ/mol of formula units: 278.8



[12]
An optimized crystal structure of PaReAg, computed with PBE.

extended XYZ file:
```
12
Lattice="6.549 0.000 0.000 0.000 6.549 0.000 0.000 0.000 6.549" Properties=species:S:1:pos:R:3 pbc="T T T"
Pa 0.000 0.000 0.000
Pa 0.000 3.275 3.275
Pa 3.275 0.000 3.275
Pa 3.275 3.275 0.000
Re 1.637 1.637 1.637
Re 1.637 4.912 4.912
Re 4.912 1.637 4.912
Re 4.912 4.912 1.637
Ag 1.637 1.637 4.912
Ag 1.637 4.912 1.637
Ag 4.912 1.637 1.637
Ag 4.912 4.912 4.912
```

Values from the calculation:
SG: F-43m (216)
ΔE to the lowest computed polymorph in kJ per mole of atoms: 7.8
Energy of formation in kJ/mol of formula units: 302.3



Listing final energy for the structures above in their given order: -37.21, -23.51, -67.03, -112.51, -58.76, -61.14, -77.18, -72.82, -37.60, -60.99, -87.41, -86.44 eV/cell.